This record from the Alexandria database describes crystalline HoZrSi at its relaxed geometry. The functional is PBE-GGA.

- Raw total energy: -6.4455 eV/atom
- Energy relative to the elements, uncorrected: -0.79 eV per formula unit
- Spin magnetization: 0.00 μB per formula unit
- Symmetry: R3

Unit cell a=6.559 b=6.559 c=7.093 alpha=62.46 beta=62.46 gamma=60.00
Sites, in units of the cell vectors:
Si: 0.181 0.181 0.458
Si: 0.318 0.318 0.047
Si: 0.654 0.654 0.038
Ho: 0.748 0.416 0.748
Ho: 0.088 0.748 0.748
Ho: 0.416 0.088 0.748
Zr: 0.630 0.900 0.256
Zr: 0.900 0.214 0.256
Zr: 0.214 0.630 0.256

---

This record from the Alexandria database describes crystalline SmHo2 at its relaxed geometry. The functional is PBE-GGA.

- Energy relative to the elements: 0.02 eV/atom
- Raw total energy: -4.6041 eV/atom
- Offset from the most stable computed form: 0.08 eV per formula unit
- Spin magnetization: 0.00 μB per formula unit
- Symmetry: I4/mmm

Unit cell a=3.556 b=3.556 c=7.963 alpha=102.90 beta=102.90 gamma=90.00
Sites, in units of the cell vectors:
Ho: 0.668 0.668 0.336
Ho: 0.332 0.332 0.664
Sm: 0.000 0.000 0.000

---

This record from the Alexandria database describes crystalline SmHo2 at its relaxed geometry. The functional is PBE-GGA.

- Energy relative to the elements: 0.29 eV/atom
- Raw total energy: -4.3392 eV/atom
- Offset from the most stable computed form: 0.87 eV per formula unit
- Spin magnetization: 0.73 μB per formula unit
- Symmetry: Fd-3m

Unit cell a=6.588 b=6.588 c=6.588 alpha=60.00 beta=60.00 gamma=60.00
Each line ends with the local moment (μB).
Sites, in units of the cell vectors:
Ho: 0.125 0.625 0.625  0.08
Ho: 0.625 0.125 0.625  0.08
Ho: 0.625 0.625 0.625  0.08
Ho: 0.625 0.625 0.125  0.08
Sm: 0.000 0.000 0.000  0.22
Sm: 0.250 0.250 0.250  0.22

---

This record from the Alexandria database describes crystalline SmHo3 at its relaxed geometry. The functional is PBE-GGA.

- Energy relative to the elements: 0.02 eV/atom
- Raw total energy: -4.5950 eV/atom
- Offset from the most stable computed form: 0.03 eV per formula unit
- Spin magnetization: 0.00 μB per formula unit
- Symmetry: I4/mmm

Unit cell a=6.149 b=6.149 c=6.149 alpha=131.85 beta=131.85 gamma=70.46
Sites, in units of the cell vectors:
Ho: 0.750 0.250 0.500
Ho: 0.250 0.750 0.500
Ho: 0.500 0.500 0.000
Sm: 0.000 0.000 0.000